TbScCdGa: relaxed, PBE.

SG ... F-43m (216)

a = 5.040 Å, b = 5.040 Å, c = 5.040 Å
α = 60.00°, β = 60.00°, γ = 60.00°
Sites, in units of the cell vectors:
Sc1 0.000 0.000 0.000
Tb1 0.500 0.500 0.500
Ga1 0.250 0.250 0.250
Cd1 0.750 0.750 0.750

***

PaB4W4: relaxed, PBE.

SG ... P4_2/n (86)

a = 4.388 Å, b = 7.503 Å, c = 7.503 Å
α = 90.00°, β = 90.00°, γ = 90.00°
Sites, in units of the cell vectors:
Pa1 0.000 0.000 0.000
Pa2 0.500 0.500 0.500
B1 0.641 0.825 0.317
B2 0.641 0.175 0.683
B3 0.141 0.817 0.675
B4 0.859 0.325 0.817
B5 0.859 0.675 0.183
B6 0.359 0.317 0.175
B7 0.359 0.683 0.825
B8 0.141 0.183 0.325
W1 0.359 0.368 0.869
W2 0.859 0.631 0.868
W3 0.359 0.632 0.131
W4 0.141 0.132 0.631
W5 0.641 0.869 0.632
W6 0.141 0.868 0.369
W7 0.859 0.369 0.132
W8 0.641 0.131 0.368

***

In6PdPb2: relaxed, PBE.

SG ... Amm2 (38)

a = 3.594 Å, b = 8.285 Å, c = 9.054 Å
α = 117.23°, β = 90.00°, γ = 90.00°
Sites, in units of the cell vectors:
In1 0.500 0.608 0.000
In2 0.500 0.339 0.329
In3 0.500 0.010 0.671
In4 0.000 0.280 0.000
In5 0.000 0.753 0.776
In6 0.000 0.977 0.224
Pd1 0.500 0.016 0.000
Pb1 0.000 0.323 0.629
Pb2 0.000 0.694 0.371

***

Th4H2N: relaxed, PBE.

SG ... I4/mmm (139)

a = 4.959 Å, b = 4.959 Å, c = 6.711 Å
α = 68.32°, β = 68.32°, γ = 90.00°
Sites, in units of the cell vectors:
H1 0.576 0.576 0.847
H2 0.424 0.424 0.153
Th1 0.772 0.772 0.456
Th2 0.228 0.228 0.544
Th3 0.000 0.500 0.000
Th4 0.500 0.000 0.000
N1 0.000 0.000 0.000

***

TaNi6Pt2: relaxed, PBE.

SG ... C2/m (12)

a = 4.361 Å, b = 4.598 Å, c = 6.870 Å
α = 70.45°, β = 81.03°, γ = 62.23°
Sites, in units of the cell vectors:
Ta1 0.000 0.000 0.000
Ni1 0.167 0.821 0.669
Ni2 0.833 0.179 0.331
Ni3 0.320 0.359 0.000
Ni4 0.167 0.490 0.331
Ni5 0.833 0.510 0.669
Ni6 0.680 0.641 0.000
Pt1 0.500 0.840 0.320
Pt2 0.500 0.160 0.680

***

MnIn2Tc: relaxed, PBE.

SG ... R3m (160)

a = 9.368 Å, b = 9.368 Å, c = 9.368 Å
α = 18.75°, β = 18.75°, γ = 18.75°
Each line ends with the local moment (μB).
Sites, in units of the cell vectors:
In1 0.992 0.992 0.992  -0.01
In2 0.758 0.758 0.758  -0.04
Mn1 0.509 0.509 0.509  2.85
Tc1 0.241 0.241 0.241  -0.31

***

BeHg3: relaxed, PBE.

SG ... R-3m (166)

a = 5.304 Å, b = 5.304 Å, c = 5.304 Å
α = 113.91°, β = 113.91°, γ = 113.91°
Sites, in units of the cell vectors:
Be1 0.000 0.000 0.000
Hg1 0.500 0.000 0.500
Hg2 0.500 0.500 0.000
Hg3 0.000 0.500 0.500

***

Ca8Tl2Cd: relaxed, PBE.

SG ... Immm (71)

a = 5.404 Å, b = 9.008 Å, c = 9.221 Å
α = 119.24°, β = 107.04°, γ = 90.00°
Sites, in units of the cell vectors:
Ca1 0.658 0.872 0.316
Ca2 0.342 0.556 0.684
Ca3 0.138 0.138 0.276
Ca4 0.000 0.318 0.000
Ca5 0.862 0.862 0.724
Ca6 0.658 0.444 0.316
Ca7 0.342 0.128 0.684
Ca8 0.000 0.682 0.000
Tl1 0.197 0.697 0.394
Tl2 0.803 0.303 0.606
Cd1 0.500 0.000 0.000

***

Pr2Bi6Rh: relaxed, PBE.

SG ... Amm2 (38)

a = 4.205 Å, b = 8.529 Å, c = 8.535 Å
α = 119.97°, β = 90.00°, γ = 90.00°
Sites, in units of the cell vectors:
Pr1 0.000 0.333 0.666
Pr2 0.000 0.667 0.334
Bi1 0.500 0.629 0.000
Bi2 0.500 0.370 0.370
Bi3 0.500 0.000 0.630
Bi4 0.000 0.234 0.000
Bi5 0.000 0.767 0.767
Bi6 0.000 0.000 0.233
Rh1 0.500 0.000 0.000

***

Cs2K2Na2Au: relaxed, PBE.

SG ... P-1 (2)

a = 5.062 Å, b = 8.430 Å, c = 11.304 Å
α = 69.91°, β = 89.99°, γ = 72.68°
Sites, in units of the cell vectors:
Cs1 0.489 0.021 0.780
Cs2 0.511 0.979 0.220
K1 0.821 0.357 0.384
K2 0.179 0.643 0.616
Na1 0.804 0.393 0.933
Na2 0.196 0.607 0.067
Au1 0.000 0.000 0.000

***

Mn3BeAg: relaxed, PBE.

SG ... Pm-3m (221)

a = 4.189 Å, b = 4.189 Å, c = 4.189 Å
α = 90.00°, β = 90.00°, γ = 90.00°
Each line ends with the local moment (μB).
Sites, in units of the cell vectors:
Be1 0.000 0.000 0.000  -0.18
Mn1 0.000 0.500 0.000  3.23
Mn2 0.000 0.000 0.500  3.49
Mn3 0.500 0.000 0.000  3.09
Ag1 0.500 0.500 0.500  0.07

***

Re4Au: relaxed, PBE.

SG ... I4/mmm (139)

a = 6.250 Å, b = 6.250 Å, c = 6.250 Å
α = 142.31°, β = 142.31°, γ = 54.37°
Sites, in units of the cell vectors:
Re1 0.750 0.250 0.500
Re2 0.386 0.386 0.000
Re3 0.614 0.614 0.000
Re4 0.250 0.750 0.500
Au1 0.000 0.000 0.000

***

TaSb2As: relaxed, PBE.

SG ... Cm (8)
Formation energy from raw total energies ... 54.0 meV/atom

a = 4.822 Å, b = 4.822 Å, c = 6.243 Å
α = 81.77°, β = 81.77°, γ = 43.54°
Sites, in units of the cell vectors:
Sb1 0.004 0.004 0.044
Sb2 0.795 0.795 0.700
As1 0.207 0.207 0.356
Ta1 0.494 0.494 0.400

***

DyTmNi: relaxed, PBE.

SG ... C2/m (12)

a = 3.879 Å, b = 5.632 Å, c = 8.165 Å
α = 122.37°, β = 103.74°, γ = 90.00°
Sites, in units of the cell vectors:
Dy1 0.153 0.490 0.305
Dy2 0.847 0.510 0.695
Tm1 0.417 0.118 0.834
Tm2 0.583 0.882 0.166
Ni1 0.769 0.900 0.538
Ni2 0.231 0.100 0.462

***

CuS4I: relaxed, PBE.

SG ... C2/c (15)
Formation energy from raw total energies ... 175.9 meV/atom

a = 5.063 Å, b = 4.989 Å, c = 16.258 Å
α = 83.38°, β = 83.21°, γ = 104.15°
Sites, in units of the cell vectors:
Cu1 0.666 0.916 0.168
Cu2 0.334 0.084 0.832
S1 0.297 0.790 0.729
S2 0.475 0.481 0.729
S3 0.029 0.780 0.118
S4 0.352 0.102 0.118
S5 0.703 0.210 0.271
S6 0.525 0.519 0.271
S7 0.971 0.220 0.882
S8 0.648 0.898 0.882
I1 0.052 0.302 0.397
I2 0.948 0.698 0.603

***

NpZnInO6: relaxed, PBE.

SG ... P-31c (163)
Formation energy from raw total energies ... -1922.8 meV/atom

a = 5.329 Å, b = 5.329 Å, c = 9.486 Å
α = 90.00°, β = 90.00°, γ = 120.00°
Sites, in units of the cell vectors:
Np1 0.667 0.333 0.250
Np2 0.333 0.667 0.750
Zn1 0.333 0.667 0.250
Zn2 0.667 0.333 0.750
In1 0.000 0.000 0.000
In2 0.000 0.000 0.500
O1 0.666 0.652 0.132
O2 0.986 0.334 0.132
O3 0.334 0.986 0.632
O4 0.014 0.666 0.868
O5 0.348 0.334 0.368
O6 0.986 0.652 0.368
O7 0.652 0.986 0.868
O8 0.666 0.014 0.368
O9 0.014 0.348 0.632
O10 0.348 0.014 0.132
O11 0.652 0.666 0.632
O12 0.334 0.348 0.868

***

CeMg14B: relaxed, PBE.

SG ... Amm2 (38)

a = 6.587 Å, b = 6.587 Å, c = 10.317 Å
α = 90.00°, β = 90.00°, γ = 125.65°
Each line ends with the local moment (μB).
Sites, in units of the cell vectors:
Ce1 0.808 0.192 0.500  0.71
Mg1 0.829 0.171 0.000  0.00
Mg2 0.316 0.684 0.000  0.00
Mg3 0.312 0.222 0.500  0.00
Mg4 0.322 0.172 0.000  0.00
Mg5 0.778 0.688 0.500  0.00
Mg6 0.828 0.678 0.000  0.00
Mg7 0.171 0.327 0.247  0.00
Mg8 0.171 0.327 0.753  0.00
Mg9 0.673 0.829 0.247  0.00
Mg10 0.673 0.829 0.753  0.00
Mg11 0.665 0.335 0.240  0.00
Mg12 0.665 0.335 0.760  0.00
Mg13 0.209 0.791 0.337  0.00
Mg14 0.209 0.791 0.663  0.00
B1 0.370 0.630 0.500  -0.01

***

Eu2HgPt: relaxed, PBE.

SG ... P4/mmm (123)

a = 3.718 Å, b = 3.718 Å, c = 7.551 Å
α = 90.00°, β = 90.00°, γ = 90.00°
Each line ends with the local moment (μB).
Sites, in units of the cell vectors:
Eu1 0.000 0.000 0.775  6.84
Eu2 0.000 0.000 0.225  6.84
Hg1 0.500 0.500 0.500  0.01
Pt1 0.500 0.500 0.000  -0.07

***

LiCeBeGa: relaxed, PBE.

SG ... F-43m (216)

a = 4.569 Å, b = 4.569 Å, c = 4.569 Å
α = 60.00°, β = 60.00°, γ = 60.00°
Each line ends with the local moment (μB).
Sites, in units of the cell vectors:
Be1 0.000 0.000 0.000  0.01
Ga1 0.250 0.250 0.250  0.00
Ce1 0.750 0.750 0.750  0.66
Li1 0.500 0.500 0.500  0.03

***

Tb4ErSe5: relaxed, PBE.

SG ... I4/m (87)
Formation energy from raw total energies ... -1756.3 meV/atom

a = 5.787 Å, b = 7.068 Å, c = 7.068 Å
α = 80.35°, β = 65.84°, γ = 65.84°
Sites, in units of the cell vectors:
Tb1 0.403 0.401 0.794
Tb2 0.804 0.794 0.599
Tb3 0.198 0.206 0.401
Tb4 0.598 0.599 0.206
Er1 0.001 0.000 0.000
Se1 0.900 0.396 0.805
Se2 0.296 0.805 0.604
Se3 0.706 0.195 0.396
Se4 0.102 0.604 0.195
Se5 0.501 0.000 0.000

***

Ga2AgW: relaxed, PBE.

SG ... I-42d (122)

a = 6.972 Å, b = 6.972 Å, c = 5.712 Å
α = 52.39°, β = 52.39°, γ = 90.00°
Sites, in units of the cell vectors:
Ga1 0.619 0.125 0.250
Ga2 0.131 0.625 0.250
Ga3 0.375 0.381 0.750
Ga4 0.875 0.869 0.750
Ag1 0.500 0.500 0.000
Ag2 0.250 0.750 0.500
W1 0.000 0.000 0.000
W2 0.750 0.250 0.500

***

Y2P3PdRh4: relaxed, PBE.

SG ... P-4m2 (115)

a = 4.023 Å, b = 4.023 Å, c = 10.283 Å
α = 90.00°, β = 90.00°, γ = 90.00°
Sites, in units of the cell vectors:
Y1 0.500 0.000 0.257
Y2 0.000 0.500 0.743
P1 0.000 0.000 0.500
P2 0.500 0.000 0.870
P3 0.000 0.500 0.130
Pd1 0.500 0.500 0.500
Rh1 0.500 0.500 0.000
Rh2 0.000 0.000 0.000
Rh3 0.500 0.000 0.655
Rh4 0.000 0.500 0.345

***

CaTa2Hg: relaxed, PBE.

SG ... Cmmm (65)

a = 2.907 Å, b = 2.907 Å, c = 10.367 Å
α = 90.00°, β = 90.00°, γ = 104.09°
Sites, in units of the cell vectors:
Ca1 0.500 0.500 0.250
Hg1 0.500 0.500 0.750
Ta1 0.000 0.000 0.982
Ta2 0.000 0.000 0.518

***

HfNbMo: relaxed, PBE.

SG ... Amm2 (38)

a = 5.434 Å, b = 5.434 Å, c = 8.838 Å
α = 90.00°, β = 90.00°, γ = 119.28°
Sites, in units of the cell vectors:
Hf1 0.333 0.667 0.307
Hf2 0.667 0.333 0.182
Hf3 0.667 0.333 0.818
Hf4 0.333 0.667 0.693
Nb1 0.998 0.002 0.245
Nb2 0.998 0.002 0.755
Nb3 0.343 0.171 0.500
Nb4 0.829 0.657 0.500
Mo1 0.831 0.169 0.500
Mo2 0.656 0.828 0.000
Mo3 0.172 0.344 0.000
Mo4 0.171 0.829 0.000

***

Calculated final energy in order - -4.155; -10.012; -3.316; -6.886; -6.680; -5.938; -0.647; -2.184; -4.825; -1.484; -6.181; -10.032; -6.133; -5.258; -3.517; -7.112; -2.041; -7.459; -3.743; -5.807; -4.837; -7.321; -5.855; -10.376 eV per atom
Calculated magnetic moment in order - 0.0; 0.0; 0.0; 0.0; 0.0; 2.6; 0.0; 0.0; 0.0; 0.0; 10.0; 0.0; 0.0; 0.0; 0.0; 0.0; 0.9; 14.2; 0.8; 0.0; 0.0; 0.0; 0.0; 0.0 Bohr magnetons per cell